Computed, not measured: a geometry-optimized Sr2Zn3HgPt4 structure at the PBE level of DFT. Values from VASP.

Quantum ESPRESSO input file:
```
&SYSTEM
  ibrav = 0, nat = 10, ntyp = 4
/
ATOMIC_SPECIES
Pt 195.08 Pt.upf
Zn 65.41 Zn.upf
Hg 200.59 Hg.upf
Sr 87.62 Sr.upf
CELL_PARAMETERS angstrom
-1.3962 -4.0591 -0.2600
0.3623 0.1497 -4.2825
10.5900 -3.6917 0.7668
ATOMIC_POSITIONS angstrom
Pt 3.8642 -1.2091 -1.8746
Zn 1.4950 -0.3832 -2.0461
Hg 4.7780 -3.8006 -1.8878
Pt 6.2088 -4.4373 0.3701
Zn 5.2950 -1.8459 0.3834
Pt 0.0000 0.0000 0.0000
Sr 1.8138 -2.9052 0.0519
Pt -0.5170 -1.9547 -2.2712
Zn 8.5779 -5.2632 0.5417
Sr 8.2592 -2.7412 -1.5563
```

Summary:
For the density of states at the Fermi level, the calculation gives 3.52 states/eV/cell. Its energy relative to the elements is -6.2 eV/f.u.

---

Computed, not measured: a geometry-optimized SrZn2HgPt structure at the PBE level of DFT. Values from VASP.

Quantum ESPRESSO input file:
```
&SYSTEM
  ibrav = 0, nat = 5, ntyp = 4
/
ATOMIC_SPECIES
Zn 65.41 Zn.upf
Sr 87.62 Sr.upf
Pt 195.08 Pt.upf
Hg 200.59 Hg.upf
CELL_PARAMETERS angstrom
4.8993 0.0000 0.0000
0.0000 4.8993 0.0000
0.0000 0.0000 5.2899
ATOMIC_POSITIONS angstrom
Zn 0.0000 2.4496 0.0000
Sr 2.4496 2.4496 2.6450
Pt 0.0000 0.0000 0.0000
Hg 0.0000 0.0000 2.6450
Zn 2.4496 0.0000 0.0000
```

Summary:
For the density of states at the Fermi level, the calculation gives 2.27 states/eV/cell. Its energy relative to the elements is -1.7 eV/f.u. As for the relative energy among the computed polymorphs: 0.0000 eV per atom.

---

Computed, not measured: a geometry-optimized SrZn2HgPt structure at the PBE level of DFT. Values from VASP.

Quantum ESPRESSO input file:
```
&SYSTEM
  ibrav = 0, nat = 5, ntyp = 4
/
ATOMIC_SPECIES
Zn 65.41 Zn.upf
Hg 200.59 Hg.upf
Pt 195.08 Pt.upf
Sr 87.62 Sr.upf
CELL_PARAMETERS angstrom
-0.2826 1.1721 4.7946
2.3310 -4.2015 1.1645
5.0222 2.6863 -0.3607
ATOMIC_POSITIONS angstrom
Zn 1.1655 -2.1008 0.5823
Hg 3.5353 -0.1715 2.7993
Zn -0.1413 0.5861 2.3973
Pt 0.0000 0.0000 0.0000
Sr 2.5111 1.3431 -0.1803
```

Summary:
For the density of states at the Fermi level, the calculation gives 2.20 states/eV/cell. Its energy relative to the elements is -1.7 eV/f.u. As for the relative energy among the computed polymorphs: 0.0163 eV per atom.

---

Computed, not measured: a geometry-optimized Ta2HgPt structure at the PBE level of DFT. Values from VASP.

Quantum ESPRESSO input file:
```
&SYSTEM
  ibrav = 0, nat = 4, ntyp = 3
/
ATOMIC_SPECIES
Ta 180.95 Ta.upf
Pt 195.08 Pt.upf
Hg 200.59 Hg.upf
CELL_PARAMETERS angstrom
4.1400 0.0000 0.0000
0.0000 2.8941 0.0268
0.0000 2.8585 5.9692
ATOMIC_POSITIONS angstrom
Ta 0.0000 2.8613 5.8910
Pt 2.0700 4.3144 4.4970
Hg 2.0700 1.4381 1.4990
Ta 0.0000 2.8734 3.0762
```

Summary:
For the density of states at the Fermi level, the calculation gives 2.85 states/eV/cell. Its energy relative to the elements is -0.3 eV/f.u.

---

Computed, not measured: a geometry-optimized Ta2HgPt2 structure at the PBE level of DFT. Values from VASP.

Quantum ESPRESSO input file:
```
&SYSTEM
  ibrav = 0, nat = 10, ntyp = 3
/
ATOMIC_SPECIES
Ta 180.95 Ta.upf
Hg 200.59 Hg.upf
Pt 195.08 Pt.upf
CELL_PARAMETERS angstrom
-1.8368 6.8215 -3.5376
-7.0551 -0.0557 3.5559
1.1165 1.4613 2.2380
ATOMIC_POSITIONS angstrom
Ta -3.3102 6.3860 -0.6438
Hg -4.4460 3.3829 0.0091
Ta -1.2381 2.9844 0.5436
Pt -6.0222 5.9267 -0.8655
Hg 0.0000 0.0000 0.0000
Ta -4.4653 1.8411 2.9000
Ta -6.5373 5.2427 1.7126
Pt -6.8525 2.5022 1.7848
Pt -2.8697 0.8391 0.8837
Pt -2.0394 4.2637 -1.7665
```

Summary:
For the density of states at the Fermi level, the calculation gives 5.57 states/eV/cell. Its energy relative to the elements is -1.6 eV/f.u. As for the relative energy among the computed polymorphs: 0.0000 eV per atom.

---

Computed, not measured: a geometry-optimized TaHgPt3 structure at the PBE level of DFT. Values from VASP.

Quantum ESPRESSO input file:
```
&SYSTEM
  ibrav = 0, nat = 5, ntyp = 3
/
ATOMIC_SPECIES
Hg 200.59 Hg.upf
Pt 195.08 Pt.upf
Ta 180.95 Ta.upf
CELL_PARAMETERS angstrom
4.8899 0.0000 0.0000
0.0000 4.8899 0.0000
0.0000 0.0000 4.8899
ATOMIC_POSITIONS angstrom
Hg 0.0000 0.0000 0.0000
Pt 0.0000 2.4450 0.0000
Pt 0.0000 0.0000 2.4450
Ta 2.4450 2.4450 2.4450
Pt 2.4450 0.0000 0.0000
```

Summary:
For the density of states at the Fermi level, the calculation gives 8.68 states/eV/cell. Its energy relative to the elements is 8.7 eV/f.u. As for the relative energy among the computed polymorphs: 0.8885 eV per atom.

---

Computed, not measured: a geometry-optimized Ta2HgPt structure at the PBE level of DFT. Values from VASP.

Quantum ESPRESSO input file:
```
&SYSTEM
  ibrav = 0, nat = 4, ntyp = 3
/
ATOMIC_SPECIES
Pt 195.08 Pt.upf
Hg 200.59 Hg.upf
Ta 180.95 Ta.upf
CELL_PARAMETERS angstrom
-2.3940 1.5904 2.0750
1.8241 -0.9994 2.8705
3.0638 4.9181 -0.2346
ATOMIC_POSITIONS angstrom
Pt 2.0129 3.9840 2.2968
Hg 0.4810 1.5250 2.4141
Ta 1.5975 2.5644 -0.1223
Ta 2.9982 4.8127 -0.2296
```

Summary:
For the density of states at the Fermi level, the calculation gives 4.58 states/eV/cell. Its energy relative to the elements is 0.4 eV/f.u.

---

Computed, not measured: a geometry-optimized TaHgPt3 structure at the PBE level of DFT. Values from VASP.

Quantum ESPRESSO input file:
```
&SYSTEM
  ibrav = 0, nat = 5, ntyp = 3
/
ATOMIC_SPECIES
Pt 195.08 Pt.upf
Hg 200.59 Hg.upf
Ta 180.95 Ta.upf
CELL_PARAMETERS angstrom
4.9208 0.0000 0.0000
0.0000 4.9208 0.0000
0.0000 0.0000 4.9208
ATOMIC_POSITIONS angstrom
Pt 0.0000 2.4604 0.0000
Hg 2.4604 2.4604 2.4604
Pt 0.0000 0.0000 2.4604
Ta 0.0000 0.0000 0.0000
Pt 2.4604 0.0000 0.0000
```

Summary:
For the density of states at the Fermi level, the calculation gives 5.48 states/eV/cell. Its energy relative to the elements is 4.2 eV/f.u. As for the relative energy among the computed polymorphs: 0.0000 eV per atom.